1.
The following is a DFT calculation (GGA-PBE) of an optimized crystal structure of Sc3InTc.

Geometry as POSCAR:
```
Sc3InTc
1.0
-4.3983 4.4028 -2.6502
-4.5555 -4.9548 -0.6710
-2.3781 1.3485 6.1870
Tc Sc In
3 9 3
Direct
0.0000 0.0000 0.5000 Tc
0.0000 0.5000 0.0000 Tc
0.5000 0.0000 0.0000 Tc
0.5000 0.5000 0.5000 Sc
0.2284 0.7716 0.2284 Sc
0.7716 0.2284 0.2284 Sc
0.2284 0.2284 0.2284 Sc
0.2284 0.2284 0.7716 Sc
0.7716 0.7716 0.2284 Sc
0.2284 0.7716 0.7716 Sc
0.7716 0.7716 0.7716 Sc
0.7716 0.2284 0.7716 Sc
0.5000 0.5000 0.0000 In
0.0000 0.5000 0.5000 In
0.5000 0.0000 0.5000 In
```

Values from the calculation:
**Energy above the lowest structure with this stoichiometry**: 6.0 meV per atom
**Crystal system**: cubic
**Magnetization**: 0.00 Bohr magnetons per cell
**Energy of formation from the pure elements**: -236 meV per atom
**Symmetry**: Pm-3m, No. 221

=====

2.
The following is a DFT calculation (GGA-PBE) of an optimized crystal structure of ZrTeI2O.

Geometry as POSCAR:
```
ZrTeI2O
1.0
-2.0242 -0.3185 5.7832
3.6533 -4.8241 1.0130
2.9425 2.4732 1.1661
I O Te Zr
2 1 1 1
Direct
0.5000 0.0000 0.0000 I
0.0000 0.5000 0.0000 I
0.0000 0.0000 0.5000 O
0.0000 0.0000 0.0000 Te
0.5000 0.5000 0.5000 Zr
```

Values from the calculation:
**Energy above the lowest structure with this stoichiometry**: 1064.7 meV per atom
**Crystal system**: tetragonal
**Magnetization**: 2.46 Bohr magnetons per cell
**Formation energy from raw total energies**: 239 meV/atom
**Symmetry**: P4/mmm, No. 123

=====

3.
The following is a DFT calculation (GGA-PBE) of an optimized crystal structure of HfCuTe2N.

Geometry as POSCAR:
```
HfCuTe2N
1.0
-3.8654 -2.1379 -3.6286
-2.7381 -2.4666 4.3700
-2.1985 3.2242 0.4423
N Hf Te Cu
1 1 2 1
Direct
0.0000 0.0000 0.5000 N
0.0000 0.0000 0.0000 Hf
0.0000 0.5000 0.0000 Te
0.5000 0.0000 0.0000 Te
0.5000 0.5000 0.5000 Cu
```

Values from the calculation:
**Energy above the lowest structure with this stoichiometry**: 0.0 meV per atom
**Crystal system**: tetragonal
**Magnetization**: 0.00 Bohr magnetons per cell
**Formation energy from raw total energies**: 303 meV/atom
**Symmetry**: P4/mmm, No. 123

=====

4.
The following is a DFT calculation (GGA-PBE) of an optimized crystal structure of K3Ac3TiTe8.

Geometry as POSCAR:
```
K3Ac3TiTe8
1.0
-8.9450 2.4314 1.1613
2.1391 -8.1799 -3.9771
1.5359 0.9495 9.8545
Te Ac Ti K
8 3 1 3
Direct
0.2111 0.9872 0.6984 Te
0.2111 0.4222 0.6983 Te
0.2575 0.5150 0.2724 Te
0.2239 0.0128 0.3016 Te
0.7761 0.9872 0.6984 Te
0.7889 0.5778 0.3017 Te
0.7425 0.4850 0.7276 Te
0.7889 0.0128 0.3016 Te
0.0000 0.5000 0.5000 Ac
0.5000 0.5000 0.5000 Ac
0.5000 0.0000 0.5000 Ac
0.0000 0.0000 0.5000 Ti
0.0000 0.5000 0.0000 K
0.5000 0.5000 0.0000 K
0.0000 0.0000 0.0000 K
```

Values from the calculation:
**Crystal system**: trigonal
**Magnetization**: 0.00 Bohr magnetons per cell
**Formation energy from raw total energies**: -1257 meV/atom
**Symmetry**: R-3m, No. 166

=====

5.
The following is a DFT calculation (GGA-PBE) of an optimized crystal structure of Co3RuC.

Geometry as POSCAR:
```
Co3RuC
1.0
3.7973 0.0000 0.0000
0.0000 3.7973 0.0000
0.0000 0.0000 3.7973
Ru Co C
1 3 1
Direct
0.5000 0.5000 0.5000 Ru
0.0000 0.0000 0.5000 Co
0.5000 0.0000 0.0000 Co
0.0000 0.5000 0.0000 Co
0.0000 0.0000 0.0000 C
```

Values from the calculation:
**Energy above the lowest structure with this stoichiometry**: 0.0 meV per atom
**Crystal system**: cubic
**Magnetization**: 6.35 Bohr magnetons per cell
**Energy of formation from the pure elements**: 342 meV per atom
**Symmetry**: Pm-3m, No. 221

=====

6.
The following is a DFT calculation (GGA-PBE) of an optimized crystal structure of ErTm3Tl.

Geometry as POSCAR:
```
ErTm3Tl
1.0
-4.1592 -2.0302 -4.5047
6.1529 -3.8486 -6.4321
-1.2529 -9.1949 2.8151
Er Tm Tl
4 12 4
Direct
0.0396 0.6719 0.5374 Er
0.4604 0.4626 0.3281 Er
0.5396 0.5374 0.6719 Er
0.9604 0.3281 0.4626 Er
0.3575 0.1243 0.2720 Tm
0.6418 0.6232 0.9978 Tm
0.0245 0.4091 0.7862 Tm
0.9755 0.5909 0.2138 Tm
0.5245 0.7862 0.4091 Tm
0.1425 0.7280 0.8757 Tm
0.8582 0.0022 0.3768 Tm
0.4755 0.2138 0.5909 Tm
0.8575 0.2720 0.1243 Tm
0.3582 0.3768 0.0022 Tm
0.1418 0.9978 0.6232 Tm
0.6425 0.8757 0.7280 Tm
0.7500 0.1691 0.8309 Tl
0.2500 0.0825 0.9175 Tl
0.2500 0.8309 0.1691 Tl
0.7500 0.9175 0.0825 Tl
```

Values from the calculation:
**Energy above the lowest structure with this stoichiometry**: 73.6 meV per atom
**Crystal system**: monoclinic
**Magnetization**: 0.00 Bohr magnetons per cell
**Energy of formation from the pure elements**: -36 meV per atom
**Symmetry**: C2/c, No. 15

=====

7.
The following is a DFT calculation (GGA-PBE) of an optimized crystal structure of K3RuN2.

Geometry as POSCAR:
```
K3RuN2
1.0
6.4821 -0.4777 0.0000
-0.8787 6.4400 0.0000
0.0000 0.0000 6.3802
K Ru N
6 2 4
Direct
0.7331 0.7331 0.7500 K
0.2841 0.7159 0.0000 K
0.7159 0.2841 0.0000 K
0.7159 0.2841 0.5000 K
0.2669 0.2669 0.2500 K
0.2841 0.7159 0.5000 K
0.8668 0.8668 0.2500 Ru
0.1332 0.1332 0.7500 Ru
0.3550 0.3550 0.7500 N
0.0000 0.0000 0.5000 N
0.6450 0.6450 0.2500 N
0.0000 0.0000 0.0000 N
```

Values from the calculation:
**Crystal system**: orthorhombic
**Magnetization**: 0.00 Bohr magnetons per cell
**Formation energy from raw total energies**: 124 meV/atom
**Symmetry**: Cmcm, No. 63

=====

8.
The following is a DFT calculation (GGA-PBE) of an optimized crystal structure of Ho2Ge4PdPt3.

Geometry as POSCAR:
```
Ho2Ge4PdPt3
1.0
-0.0696 1.5450 3.9733
-2.0975 -3.4719 1.3133
8.9600 -4.6671 1.9718
Ho Ge Pt Pd
2 4 3 1
Direct
0.5000 0.0000 0.2550 Ho
0.0000 0.5000 0.7450 Ho
0.0000 0.5000 0.3679 Ge
0.0000 0.0000 0.0000 Ge
0.5000 0.0000 0.6321 Ge
0.5000 0.5000 0.0000 Ge
0.0000 0.5000 0.1324 Pt
0.5000 0.0000 0.8676 Pt
0.0000 0.0000 0.5000 Pt
0.5000 0.5000 0.5000 Pd
```

Values from the calculation:
**Crystal system**: tetragonal
**Magnetization**: 0.00 Bohr magnetons per cell
**Energy of formation from the pure elements**: -854 meV per atom
**Symmetry**: P-4m2, No. 115

=====

9.
The following is a DFT calculation (GGA-PBE) of an optimized crystal structure of Co2AsRh.

Geometry as POSCAR:
```
Co2AsRh
1.0
-3.1860 -0.1046 1.8163
1.2363 -2.8136 2.0067
1.3310 2.3464 2.4699
As Co Rh
1 2 1
Direct
0.0000 0.5000 0.5000 As
0.5000 0.5000 0.0000 Co
0.0000 0.0000 0.0000 Co
0.5000 0.0000 0.5000 Rh
```

Values from the calculation:
**Crystal system**: tetragonal
**Magnetization**: 0.00 Bohr magnetons per cell
**Energy of formation from the pure elements**: -39 meV per atom
**Symmetry**: P4/mmm, No. 123

=====

10.
The following is a DFT calculation (GGA-PBE) of an optimized crystal structure of HfSe2Br.

Geometry as POSCAR:
```
HfSe2Br
1.0
-1.5320 -4.5987 -0.7571
-2.3614 -2.4159 3.5575
-4.7933 -0.9472 -0.4422
Hf Se Br
1 2 1
Direct
0.5000 0.5000 0.5000 Hf
0.2500 0.2500 0.2500 Se
0.7500 0.7500 0.7500 Se
0.0000 0.0000 0.0000 Br
```

Values from the calculation:
**Energy above the lowest structure with this stoichiometry**: 594.5 meV per atom
**Crystal system**: cubic
**Magnetization**: 0.00 Bohr magnetons per cell
**Formation energy from raw total energies**: -253 meV/atom
**Symmetry**: Fm-3m, No. 225

=====

11.
The following is a DFT calculation (GGA-PBE) of an optimized crystal structure of SrTa2Ag.

Geometry as POSCAR:
```
SrTa2Ag
1.0
-5.1516 1.3789 0.9673
-1.2185 -2.4012 -3.0666
-0.3516 -3.1322 2.5923
Ag Ta Sr
1 2 1
Direct
0.5000 0.5000 0.0000 Ag
0.0000 0.0000 0.0000 Ta
0.0000 0.5000 0.5000 Ta
0.5000 0.0000 0.5000 Sr
```

Values from the calculation:
**Energy above the lowest structure with this stoichiometry**: 458.4 meV per atom
**Crystal system**: tetragonal
**Magnetization**: 0.00 Bohr magnetons per cell
**Energy of formation from the pure elements**: 881 meV per atom
**Symmetry**: P4/mmm, No. 123